A relaxed Pr7TlCl12 crystal. Source: Alexandria, functional PBE.

```
Pr7TlCl12
1.0
8.7411 0.0000 2.5293
-4.1576 7.7511 3.4557
0.4259 0.0000 9.4407
Cl Pr Tl
12 7 1
direct
0.1650 0.6728 0.2277
0.7036 0.6190 0.5015
0.2964 0.3810 0.4985
0.4922 0.0995 0.6728
0.8350 0.3272 0.7723
0.9155 0.1205 0.3810
0.3927 0.2277 0.0995
0.7949 0.4985 0.1205
0.2051 0.5015 0.8795
0.6073 0.7723 0.9005
0.5078 0.9005 0.3272
0.0845 0.8795 0.6190
0.0653 0.9050 0.3074
0.1604 0.7876 0.9050
0.8396 0.2124 0.0950
0.3728 0.3074 0.7876
0.5000 0.0000 0.0000
0.9347 0.0950 0.6926
0.6272 0.6926 0.2124
0.0000 0.0000 0.0000
```

Summary:
space-group type = R-3
raw total energy = -4.7298 eV per atom

A relaxed NbPHO5 crystal. Source: Alexandria, functional PBE.

```
NbPHO5
1.0
-2.2188 4.8890 0.8635
-3.1899 -4.7201 5.2625
5.0988 1.1706 1.4883
Nb O H P
2 10 2 2
direct
0.0000 0.5000 0.0000
0.0000 0.0000 0.0000
0.1581 0.3599 0.6919
0.0439 0.7243 0.8528
0.2878 0.1137 0.8451
0.6302 0.3621 0.7560
0.9561 0.2757 0.1472
0.7122 0.8863 0.1549
0.8419 0.6401 0.3081
0.7283 0.9089 0.6319
0.2717 0.0911 0.3681
0.3698 0.6379 0.2440
0.9946 0.3231 0.3466
0.0054 0.6769 0.6534
0.3365 0.2307 0.6635
0.6635 0.7693 0.3365
```

Summary:
space-group type = P-1
raw total energy = -7.5146 eV per atom
excess energy over the best structure of this formula in the dataset = 0.0 meV per atom

A relaxed Sr2AlPbSe5 crystal. Source: Alexandria, functional PBE.

```
Sr2AlPbSe5
1.0
-3.2852 1.4328 2.0286
2.6826 -7.4349 5.4151
7.8001 7.9333 7.0283
Se Al Sr Pb
10 2 4 2
direct
0.6770 0.3540 0.8689
0.4926 0.9851 0.7596
0.2839 0.5678 0.6957
0.7161 0.4322 0.1957
0.6451 0.2902 0.5096
0.9718 0.9435 0.5180
0.5074 0.0149 0.2596
0.3230 0.6460 0.3689
0.0282 0.0565 0.0180
0.3549 0.7098 0.0096
0.5523 0.1045 0.9182
0.4477 0.8955 0.4182
0.8772 0.7545 0.8336
0.8885 0.7769 0.1813
0.1115 0.2231 0.6813
0.1228 0.2455 0.3336
0.7940 0.5880 0.5390
0.2060 0.4120 0.0390
```

Summary:
space-group type = Cmc2_1
raw total energy = -4.3696 eV per atom

A relaxed Yb2Ni3B6 crystal. Source: Alexandria, functional PBE.

```
Yb2Ni3B6
1.0
5.8038 -0.0257 0.0000
-0.6626 5.7659 0.0000
0.0000 0.0000 3.4449
Ni B Yb
3 6 2
direct
0.2238 0.2238 0.0000
0.7762 0.7762 0.0000
0.0000 0.0000 0.5000
0.6130 0.6130 0.5000
0.9130 0.6129 0.5000
0.3870 0.3870 0.5000
0.0870 0.3871 0.5000
0.6129 0.9130 0.5000
0.3871 0.0870 0.5000
0.7229 0.2771 0.0000
0.2771 0.7229 0.0000
```

Summary:
space-group type = Cmmm
raw total energy = -5.9338 eV per atom
formation enthalpy at 0 K = -437 meV per atom

A relaxed Ag3Hg12Pb5 crystal. Source: Alexandria, functional PBE.

```
Ag3Hg12Pb5
1.0
-4.4928 12.9074 5.8853
-6.4801 -1.9299 -13.2554
-3.8100 -11.1743 9.0576
Hg Pb Ag
48 20 12
direct
0.8336 0.9022 0.2602
0.4315 0.3580 0.5978
0.5735 0.3336 0.9315
0.9022 0.8336 0.7602
0.4315 0.0735 0.3336
0.6664 0.2398 0.5978
0.3336 0.7602 0.4022
0.8336 0.9315 0.0735
0.3336 0.5735 0.4315
0.3580 0.9265 0.7602
0.9315 0.0978 0.8580
0.4265 0.6664 0.0685
0.2602 0.4022 0.8336
0.8580 0.2602 0.4265
0.1420 0.4022 0.0685
0.7398 0.1420 0.0735
0.9265 0.3580 0.2602
0.0685 0.1664 0.4265
0.5978 0.8580 0.4315
0.4022 0.1420 0.5685
0.0685 0.9022 0.1420
0.7602 0.3336 0.9022
0.6420 0.5685 0.9022
0.5685 0.9265 0.6664
0.7398 0.5978 0.1664
0.1664 0.0685 0.9265
0.5735 0.2398 0.1420
0.8580 0.5978 0.9315
0.9265 0.5685 0.1664
0.2398 0.5735 0.6420
0.2398 0.6664 0.0978
0.1664 0.0978 0.7398
0.2602 0.8580 0.9265
0.5978 0.7398 0.6664
0.3580 0.4315 0.0978
0.6420 0.0735 0.2398
0.1420 0.7398 0.5735
0.9022 0.0685 0.6420
0.0978 0.1664 0.2398
0.0735 0.4315 0.8336
0.7602 0.4265 0.3580
0.6664 0.4265 0.5685
0.4022 0.2602 0.3336
0.5685 0.6420 0.4022
0.9315 0.8336 0.5735
0.0978 0.9315 0.3580
0.0735 0.6420 0.7398
0.4265 0.7602 0.8580
0.0000 0.5000 0.0000
0.2500 0.8750 0.1250
0.5000 0.0000 0.5000
0.6250 0.7500 0.8750
0.3750 0.2500 0.1250
0.0000 0.0000 0.5000
0.7500 0.6250 0.3750
0.1250 0.7500 0.3750
0.8750 0.2500 0.6250
0.7500 0.1250 0.8750
0.6250 0.8750 0.2500
0.0000 0.0000 0.0000
0.5000 0.5000 0.5000
0.0000 0.5000 0.5000
0.3750 0.1250 0.7500
0.1250 0.3750 0.2500
0.2500 0.3750 0.6250
0.8750 0.6250 0.7500
0.5000 0.5000 0.0000
0.5000 0.0000 0.0000
0.6250 0.3750 0.7500
0.6250 0.2500 0.3750
0.1250 0.2500 0.8750
0.7500 0.3750 0.1250
0.2500 0.1250 0.3750
0.7500 0.8750 0.6250
0.8750 0.7500 0.1250
0.1250 0.8750 0.7500
0.8750 0.1250 0.2500
0.3750 0.7500 0.6250
0.2500 0.6250 0.8750
0.3750 0.6250 0.2500
```

Summary:
space-group type = Ia-3d
raw total energy = -1.3123 eV per atom
formation enthalpy at 0 K = 224 meV per atom

A relaxed Sr4In5 crystal. Source: Alexandria, functional PBE.

```
Sr4In5
1.0
5.5190 5.9155 -0.7347
-7.6490 -1.4535 2.3177
3.5002 -3.6124 6.3790
In Sr
5 4
direct
0.3457 0.6543 0.0000
0.6543 0.3457 0.0000
0.6543 0.6543 0.3086
0.3457 0.3457 0.6914
0.0000 0.0000 0.0000
0.0000 0.3028 0.3028
0.3028 0.0000 0.3028
0.0000 0.6972 0.6972
0.6972 0.0000 0.6972
```

Summary:
space-group type = I4/mmm
raw total energy = -2.5255 eV per atom
excess energy over the best structure of this formula in the dataset = 37.2 meV per atom
formation enthalpy at 0 K = -257 meV per atom

A relaxed Ho4CdCu2 crystal. Source: Alexandria, functional PBE.

```
Ho4CdCu2
1.0
-2.4720 -4.1098 0.6589
2.1779 -3.8438 1.9792
-2.5584 0.1280 8.9842
Cu Cd Ho
2 1 4
direct
0.9015 0.9015 0.2954
0.0985 0.0985 0.7046
0.0000 0.0000 0.0000
0.3851 0.3851 0.8446
0.7964 0.7964 0.6108
0.2036 0.2036 0.3892
0.6149 0.6149 0.1554
```

Summary:
space-group type = R-3m
raw total energy = -3.9367 eV per atom
excess energy over the best structure of this formula in the dataset = 103.5 meV per atom
formation enthalpy at 0 K = -20 meV per atom

A relaxed ThInI5 crystal. Source: Alexandria, functional PBE.

```
ThInI5
1.0
-3.1891 -0.7118 -7.8223
0.1773 -7.6288 3.6925
-8.1356 4.9096 7.6033
I Th In
10 2 2
direct
0.3483 0.0983 0.2500
0.1972 0.3647 0.9819
0.8122 0.1340 0.1330
0.8828 0.2153 0.5181
0.1878 0.8660 0.8670
0.6517 0.9017 0.7500
0.5010 0.6792 0.3670
0.8028 0.6353 0.0181
0.4990 0.3208 0.6330
0.1172 0.7847 0.4819
0.5000 0.0000 0.5000
0.0000 0.0000 0.0000
0.7326 0.4826 0.2500
0.2674 0.5174 0.7500
```

Summary:
space-group type = C2/c
raw total energy = -3.5181 eV per atom

A relaxed RbCr2Co crystal. Source: Alexandria, functional PBE.

```
RbCr2Co
1.0
6.0437 0.0000 0.0000
0.0000 6.0437 0.0000
3.0218 3.0218 6.7637
Cr Co Rb
4 2 2
direct
0.3750 0.6250 0.2500
0.3750 0.6250 0.7500
0.8750 0.6250 0.7500
0.3750 0.1250 0.2500
0.5000 0.5000 0.0000
0.2500 0.7500 0.5000
0.7500 0.2500 0.5000
0.0000 0.0000 0.0000
```

Summary:
space-group type = I4_1/amd
raw total energy = -5.5227 eV per atom
excess energy over the best structure of this formula in the dataset = 0.0 meV per atom
formation enthalpy at 0 K = 1307 meV per atom

A relaxed Y5Cd3 crystal. Source: Alexandria, functional PBE.

```
Y5Cd3
1.0
-0.7280 2.4656 -2.6478
-3.4918 -1.1860 -0.1443
-4.2514 11.1158 11.5197
Y Cd
5 3
direct
0.0000 0.0000 0.2327
0.5000 0.5000 0.6184
0.0000 0.0000 0.7673
0.5000 0.5000 0.3816
0.0000 0.0000 0.0000
0.5000 0.5000 0.8844
0.0000 0.0000 0.5000
0.5000 0.5000 0.1156
```

Summary:
space-group type = P4/mmm
raw total energy = -4.6285 eV per atom
excess energy over the best structure of this formula in the dataset = 0.0 meV per atom
formation enthalpy at 0 K = -245 meV per atom

A relaxed Y2SnRu crystal. Source: Alexandria, functional PBE.

```
Y2SnRu
1.0
8.1054 0.0000 0.0000
0.0000 8.1054 0.0000
4.0527 4.0527 3.0172
Ru Y Sn
2 4 2
direct
0.2500 0.7500 0.5000
0.5000 0.5000 0.0000
0.5663 0.1250 0.2500
0.3750 0.4337 0.7500
0.1837 0.6250 0.2500
0.8750 0.8163 0.7500
0.0000 0.0000 0.0000
0.7500 0.2500 0.5000
```

Summary:
space-group type = I-42d
raw total energy = -6.6811 eV per atom
formation enthalpy at 0 K = -129 meV per atom

A relaxed Li2Sc2Pb crystal. Source: Alexandria, functional PBE.

```
Li2Sc2Pb
1.0
-3.6614 -5.5028 1.4704
-0.1882 -1.6302 -6.5693
3.7988 -2.3977 0.4861
Pb Li Sc
2 4 4
direct
0.0000 0.0000 0.0000
0.5000 0.5000 0.0000
0.8743 0.6257 0.0000
0.3743 0.8743 0.0000
0.6257 0.1257 0.0000
0.1257 0.3743 0.0000
0.6830 0.8170 0.5000
0.3170 0.1830 0.5000
0.1830 0.6830 0.5000
0.8170 0.3170 0.5000
```

Summary:
space-group type = P4/mbm
raw total energy = -4.1394 eV per atom
excess energy over the best structure of this formula in the dataset = 0.0 meV per atom
formation enthalpy at 0 K = -100 meV per atom